First-principles (PBE) data for NpZn3Pt3 after structural relaxation, as listed in the Alexandria database.

a = 6.8274 Å, b = 6.8274 Å, c = 6.8274 Å
α = 90.00°, β = 90.00°, γ = 90.00°
Space group Pm-3n (No. 223)
One atom of each set of equivalent atoms:
Np (0.0000, 0.0000, 0.0000) x2
Zn (0.0000, 0.2500, 0.5000) x6
Pt (0.0000, 0.5000, 0.2500) x6

## Properties
E_form = 0.165 eV/atom
magnetic moment = 9.01 Bohr magnetons per cell
crystal system = cubic